8
Lattice="5.764 0.000 0.000 0.000 5.764 0.000 2.882 2.882 3.897" Properties=species:S:1:pos:R:3 comment="Ta2AgH PBE-GGA optimized geometry" e_tot_ev_per_cell=-54.939 vol_a3_per_atom=16.2 m_tot_mub_per_cell=0.00 e_above_lowest_polymorph_mev_per_atom=0 pbc="T T T"
H 2.882 2.882 0.000
H 2.882 5.764 1.948
Ag 0.000 0.000 0.000
Ag 5.764 2.882 1.948
Ta 2.595 1.441 0.974
Ta 3.169 4.323 0.974
Ta 4.323 6.051 2.923
Ta 7.205 5.477 2.923